No. 1
An optimized crystal structure of CrRhSe2, computed with PBE.

Calculated values
As for the excess energy over the best structure of this formula in the dataset: 0.195 eV per atom. The value obtained for the magnetization is 2.631 μB per formula unit. Its uncorrected formation energy is -12 kJ/mol of atoms. The calculation puts the total energy at -6.11 eV per atom.

Cell lengths 3.367, 3.476, 12.222 Å; angles 90.00, 90.00, 90.00 degrees
Space group Imm2 (No. 44)
Symmetry-distinct sites (fractional):
Cr 0.000 0.000 0.000 [2 per cell]
Rh 0.000 0.500 0.695 [2 per cell]
Se 0.000 0.000 0.407 [2 per cell]
Se 0.000 0.500 0.151 [2 per cell]

No. 2
An optimized crystal structure of SmHo8Er5, computed with PBE.

Calculated values
The value obtained for the magnetization is 0.011 μB per formula unit. For the energy of formation from the pure elements, the calculation gives 253 meV/atom. The calculation puts the total energy at -4.33 eV per atom.

Cell lengths 9.442, 9.442, 10.106 Å; angles 90.00, 90.00, 90.00 degrees
Space group I-4 (No. 82)
Symmetry-distinct sites (fractional):
Sm 0.000 0.000 0.000 [2 per cell]
Ho 0.071 0.824 0.350 [8 per cell]
Ho 0.089 0.672 0.003 [8 per cell]
Er 0.000 0.500 0.250 [2 per cell]
Er 0.113 0.709 0.676 [8 per cell]

No. 3
An optimized crystal structure of AcLaCu, computed with PBE.

Calculated values
As for the excess energy over the best structure of this formula in the dataset: 0.011 eV per atom. The value obtained for the magnetization is 0.000 μB per formula unit. For the energy of formation from the pure elements, the calculation gives -52 meV/atom. The calculation puts the total energy at -4.43 eV per atom.

Cell lengths 13.655, 3.787, 7.557 Å; angles 90.00, 106.70, 90.00 degrees
Space group C2/m (No. 12)
Symmetry-distinct sites (fractional):
Ac 0.142 0.000 0.078 [4 per cell]
La 0.129 0.000 0.560 [4 per cell]
Cu 0.007 0.500 0.749 [4 per cell]

No. 4
An optimized crystal structure of TlAgSn2, computed with PBE.

Calculated values
As for the excess energy over the best structure of this formula in the dataset: 0.130 eV per atom. The value obtained for the magnetization is 0.000 μB per formula unit. For the energy of formation from the pure elements, the calculation gives 157 meV/atom. The calculation puts the total energy at -3.15 eV per atom.

Cell lengths 7.449, 7.449, 7.449 Å; angles 90.00, 90.00, 90.00 degrees
Space group Fm-3m (No. 225)
Symmetry-distinct sites (fractional):
Tl 0.000 0.000 0.000 [4 per cell]
Ag 0.000 0.000 0.500 [4 per cell]
Sn 0.250 0.250 0.250 [8 per cell]

Which formula does entry 4 have?
TlAgSn2

Copy entry 3 word for word.
An optimized crystal structure of AcLaCu, computed with PBE.

Calculated values
As for the excess energy over the best structure of this formula in the dataset: 0.011 eV per atom. The value obtained for the magnetization is 0.000 μB per formula unit. For the energy of formation from the pure elements, the calculation gives -52 meV/atom. The calculation puts the total energy at -4.43 eV per atom.

Cell lengths 13.655, 3.787, 7.557 Å; angles 90.00, 106.70, 90.00 degrees
Space group C2/m (No. 12)
Symmetry-distinct sites (fractional):
Ac 0.142 0.000 0.078 [4 per cell]
La 0.129 0.000 0.560 [4 per cell]
Cu 0.007 0.500 0.749 [4 per cell]